# Nd4YCu5 PBE-GGA relaxed
data_Nd4YCu5
_cell_length_a 3.552
_cell_length_b 3.552
_cell_length_c 18.027
_cell_angle_alpha 90.00
_cell_angle_beta 90.00
_cell_angle_gamma 90.00
_symmetry_space_group_name_H-M 'P 4/m m m'
_symmetry_Int_Tables_number 123
_symmetry_space_group_name_Hall '-P 4 2'
loop_
_atom_site_label
_atom_site_type_symbol
_atom_site_fract_x
_atom_site_fract_y
_atom_site_fract_z
Nd1 Nd 0.000 0.000 0.101
Nd2 Nd 0.000 0.000 0.304
Y1 Y 0.000 0.000 0.500
Cu1 Cu 0.500 0.500 0.000
Cu2 Cu 0.500 0.500 0.202
Cu3 Cu 0.500 0.500 0.408
# - Formation enthalpy at 0 K: -161 meV per atom
# - V: 227.5 Å³/cell
# - Magnetic moment: 0.0 Bohr magnetons per cell
# - Calculated total energy: -4.76 eV/atom